No. 1
! HoZnFe (PBE, relaxed); values from VASP
! E_form: -40 kJ/mol of formula units
! E_tot: -4.91 eV per atom
&SYSTEM
  ibrav = 0, nat = 6, ntyp = 3
/
ATOMIC_SPECIES
Fe 55.84 Fe.upf
Zn 65.41 Zn.upf
Ho 164.93 Ho.upf
ATOMIC_POSITIONS angstrom
Fe -0.6548 -3.5806 0.5990
Fe 3.1326 -2.8615 -1.7884
Zn 1.0911 -2.4884 -3.2175
Zn 1.3866 -3.9537 2.0280
Ho 1.3045 -5.0408 -0.8655
Ho 1.1732 -1.4013 -0.3239
CELL_PARAMETERS angstrom
-2.8656 -1.9660 -1.8736
3.1594 -0.9698 -3.8145
2.1840 -3.5063 4.4986

***

No. 2
! TaMnBe2 (PBE, relaxed); values from VASP
! ΔE to the lowest computed polymorph: 0.101 eV per atom
! E_form: -8 kJ/mol of formula units
! E_tot: -7.14 eV per atom
&SYSTEM
  ibrav = 0, nat = 4, ntyp = 3
/
ATOMIC_SPECIES
Be 9.01 Be.upf
Mn 54.94 Mn.upf
Ta 180.95 Ta.upf
ATOMIC_POSITIONS angstrom
Be -1.1931 -2.2954 -1.1543
Be -3.4321 -1.8413 -0.2648
Mn -2.1364 -0.1569 -1.2422
Ta -5.7925 -1.9523 -1.4179
CELL_PARAMETERS angstrom
-0.6168 1.4817 -2.3089
-0.9692 -2.3412 -1.2436
-6.3430 -1.2497 0.8923

***

No. 3
! RbFeBr3 (PBE, relaxed); values from VASP
! uncorrected formation energy: -862 meV/atom
! E_tot: -3.75 eV per atom
&SYSTEM
  ibrav = 0, nat = 10, ntyp = 3
/
ATOMIC_SPECIES
Br 79.90 Br.upf
Rb 85.47 Rb.upf
Fe 55.84 Fe.upf
ATOMIC_POSITIONS angstrom
Br -9.2834 9.6818 0.0845
Br -7.8569 5.3043 -2.9258
Br 1.1303 -2.1773 3.9950
Br -18.2706 17.1635 -6.8363
Br -10.4308 8.9281 -3.0003
Br -6.7095 6.0581 0.1590
Rb -20.5856 19.2422 -8.4240
Rb 3.4454 -4.2560 5.5827
Fe -16.9296 15.1279 -6.9878
Fe -0.2106 -0.1418 4.1464
CELL_PARAMETERS angstrom
-14.2690 16.9936 -4.3999
-8.1705 4.3679 -4.7098
5.2992 -6.3753 6.2684

***

No. 4
! SrHoIr4 (PBE, relaxed); values from VASP
! E_form: -300 kJ/mol of formula units
! E_tot: -7.47 eV per atom
&SYSTEM
  ibrav = 0, nat = 6, ntyp = 3
/
ATOMIC_SPECIES
Sr 87.62 Sr.upf
Ir 192.22 Ir.upf
Ho 164.93 Ho.upf
ATOMIC_POSITIONS angstrom
Sr 2.7054 1.5620 1.1045
Ir 5.4109 3.1240 0.5497
Ir 5.4109 1.5596 2.7621
Ir 6.7657 3.9062 2.7621
Ir 4.0561 3.9062 2.7621
Ho 0.0000 0.0000 0.0000
CELL_PARAMETERS angstrom
5.4109 0.0000 0.0000
2.7054 4.6860 0.0000
2.7054 1.5620 4.4180

***

No. 5
! Tl8Bi2Pb (PBE, relaxed); values from VASP
! ΔE to the lowest computed polymorph: 0.000 eV per atom
! E_form: 41 kJ/mol of formula units
! E_tot: -2.72 eV per atom
&SYSTEM
  ibrav = 0, nat = 11, ntyp = 3
/
ATOMIC_SPECIES
Tl 204.38 Tl.upf
Bi 208.98 Bi.upf
Pb 207.20 Pb.upf
ATOMIC_POSITIONS angstrom
Tl 0.3274 2.3492 0.7142
Tl 4.8705 1.2036 5.5794
Tl 3.2379 2.9798 -2.1503
Tl 3.3127 1.8373 2.3370
Tl -0.5287 5.5965 2.1505
Tl 0.2939 4.3047 -2.4489
Tl -2.0865 6.2303 -1.0918
Tl 2.4566 5.0847 3.7733
Bi 2.1592 5.1069 0.3222
Bi 0.6248 2.3270 4.1654
Pb 2.8788 0.2214 -0.5555
CELL_PARAMETERS angstrom
5.7576 0.4428 -1.1110
-2.2257 6.8417 -3.4882
-0.7478 0.1493 9.0868

***

No. 6
! Sr2YPd (PBE, relaxed); values from VASP
! ΔE to the lowest computed polymorph: 0.251 eV per atom
! E_form: 73 kJ/mol of formula units
! E_tot: -3.57 eV per atom
&SYSTEM
  ibrav = 0, nat = 4, ntyp = 3
/
ATOMIC_SPECIES
Y 88.91 Y.upf
Sr 87.62 Sr.upf
Pd 106.42 Pd.upf
ATOMIC_POSITIONS angstrom
Y 0.0000 0.0000 0.0000
Sr 2.0100 2.0100 2.0100
Sr 6.0301 6.0301 6.0301
Pd 4.0201 4.0201 4.0201
CELL_PARAMETERS angstrom
0.0000 4.0201 4.0201
4.0201 0.0000 4.0201
4.0201 4.0201 0.0000

***

- Which of these has the lowest E_tot?
  SrHoIr4